(1)
ZrSc3S | PBE | optimized geometry

abc: 5.155 5.155 5.155
angles: 90.00 90.00 90.00
Atoms (fractional coordinates):
1 S 0.500 0.500 0.500
2 Sc 0.000 0.000 0.500
3 Sc 0.500 0.000 0.000
4 Sc 0.000 0.500 0.000
5 Zr 0.000 0.000 0.000

Computed properties:
uncorrected energy: -5.569 eV per atom


(2)
Zr2Sc2S | PBE | optimized geometry

abc: 6.561 6.561 5.252
angles: 90.00 90.00 90.00
Atoms (fractional coordinates):
1 S 0.500 0.500 0.000
2 Zr 0.145 0.645 0.500
3 Zr 0.355 0.145 0.500
4 S 0.000 0.000 0.000
5 Sc 0.842 0.658 0.000
6 Sc 0.658 0.158 0.000
7 Sc 0.342 0.842 0.000
8 Sc 0.158 0.342 0.000
9 Zr 0.855 0.355 0.500
10 Zr 0.645 0.855 0.500

Computed properties:
uncorrected energy: -7.060 eV per atom


(3)
ZrScS | PBE | optimized geometry

abc: 3.566 3.566 5.967
angles: 72.61 72.61 60.00
Atoms (fractional coordinates):
1 Sc 0.604 0.604 0.187
2 S 0.357 0.357 0.929
3 Zr 0.112 0.112 0.663

Computed properties:
uncorrected energy: -7.418 eV per atom


These records have polymorph energy (0 for the lowest one) values of 1283; 0; 93 meV per atom, in the order they appear.